Material: CsCl
Method: DFT, meta-GGA SCAN
State: PBEsol geometry

a = 4.872 Å, b = 4.872 Å, c = 4.872 Å
α = 60.00°, β = 60.00°, γ = 60.00°
Positions (direct):
Cs (0.000, 0.000, 0.000)
Cl (0.500, 0.500, 0.500)

- Formation energy from raw total energies: -2.18 eV/atom
- Size of the total moment: 0.1 Bohr magnetons per cell
- Space group: Fm-3m, No. 225